(i)
Below is a geometry-optimized MnCoRe2 structure, with properties calculated at the PBE-GGA level.

a = 3.749 Å, b = 3.749 Å, c = 3.684 Å
α = 90.00°, β = 90.00°, γ = 90.00°
Last column: magnetic moment on the atom in μB.
Positions (direct):
1 Co 0.500 0.000 0.500  -0.59
2 Re 0.500 0.500 0.000  -0.20
3 Mn 0.000 0.500 0.500  1.50
4 Re 0.000 0.000 0.000  -0.20

(ii)
Below is a geometry-optimized MnCoRe2 structure, with properties calculated at the PBE-GGA level.

a = 4.538 Å, b = 4.538 Å, c = 2.642 Å
α = 89.99°, β = 89.99°, γ = 108.52°
Last column: magnetic moment on the atom in μB.
Positions (direct):
1 Re 0.500 0.500 0.000  -0.14
2 Co 0.500 0.000 0.500  -0.27
3 Mn 0.000 0.500 0.500  1.14
4 Re 0.000 0.000 0.000  -0.14

(iii)
Below is a geometry-optimized MnCoRe2 structure, with properties calculated at the PBE-GGA level.

a = 4.489 Å, b = 4.489 Å, c = 4.489 Å
α = 130.42°, β = 130.41°, γ = 72.74°
Last column: magnetic moment on the atom in μB.
Positions (direct):
1 Re 0.000 0.000 0.000  -0.03
2 Mn 0.750 0.250 0.500  0.23
3 Co 0.250 0.750 0.500  -0.09
4 Re 0.500 0.500 0.000  -0.03

(iv)
Below is a geometry-optimized MnCoRe2 structure, with properties calculated at the PBE-GGA level.

a = 6.572 Å, b = 6.572 Å, c = 5.322 Å
α = 51.87°, β = 51.87°, γ = 90.00°
Last column: magnetic moment on the atom in μB.
Positions (direct):
1 Co 0.750 0.250 0.500  -0.06
2 Re 0.615 0.125 0.250  -0.10
3 Mn 0.250 0.750 0.500  0.89
4 Re 0.375 0.385 0.750  -0.10
5 Re 0.135 0.625 0.250  -0.10
6 Re 0.875 0.865 0.750  -0.11
7 Mn 0.500 0.500 0.000  0.90
8 Co 0.000 0.000 0.000  -0.06

Last place for stability: (iv)

(i)
Below is a geometry-optimized MnCoRe2 structure, with properties calculated at the PBE-GGA level.

a = 4.556 Å, b = 4.556 Å, c = 4.555 Å
α = 131.31°, β = 131.31°, γ = 71.35°
Last column: magnetic moment on the atom in μB.
Positions (direct):
1 Mn 0.750 0.250 0.500  1.61
2 Re 0.250 0.750 0.500  0.01
3 Co 0.500 0.500 0.000  -0.69
4 Re 0.000 0.000 0.000  -0.23

(ii)
Below is a geometry-optimized MnCoRe2 structure, with properties calculated at the PBE-GGA level.

a = 4.251 Å, b = 2.652 Å, c = 4.549 Å
α = 90.00°, β = 90.00°, γ = 90.00°
Last column: magnetic moment on the atom in μB.
Positions (direct):
1 Mn 0.500 0.625 0.791  1.02
2 Re 0.500 0.125 0.302  -0.06
3 Re 0.000 0.125 0.950  -0.10
4 Co 0.000 0.625 0.457  0.03

Last place for stability: (i)